[1]
8
Lattice="-3.771 3.771 2.906 3.771 -3.771 2.906 3.771 3.771 -2.906" Properties=species:S:1:pos:R:3 comment="TiInAu2, relaxed, DFT PBE" final_energy_ev_per_atom=-4.288 pbc="T T T"
Ti 0.000 0.000 0.000
Ti 0.000 3.771 1.453
In 3.771 0.000 1.453
In 0.000 0.000 2.906
Au 5.656 1.738 -0.727
Au 1.738 1.885 0.727
Au -1.885 2.032 2.180
Au 2.032 1.885 3.633



[2]
7
Lattice="2.341 1.351 6.873 -2.341 1.351 6.873 0.000 -2.703 6.873" Properties=species:S:1:pos:R:3 comment="Ti2InAu4, relaxed, DFT PBE" final_energy_ev_per_atom=-4.738 pbc="T T T"
Ti 0.000 0.000 4.818
Ti 0.000 0.000 15.802
In 0.000 0.000 10.310
Au 0.000 0.000 1.993
Au 0.000 0.000 7.505
Au 0.000 0.000 13.115
Au 0.000 0.000 18.627



[3]
12
Lattice="2.329 -6.764 0.000 2.329 6.764 0.000 0.000 0.000 7.514" Properties=species:S:1:pos:R:3 comment="Ti4InAu, relaxed, DFT PBE" final_energy_ev_per_atom=-6.087 polymorph_energy_mev_per_atom=429.2 pbc="T T T"
Ti 0.000 0.000 0.000
Ti 0.000 0.000 3.757
Ti 2.329 3.867 4.415
Ti 2.329 3.867 6.855
Ti 2.329 1.298 5.635
Ti 2.329 -1.298 1.878
Ti 2.329 -3.867 0.658
Ti 2.329 -3.867 3.098
In 2.329 1.461 1.878
In 2.329 -1.461 5.635
Au 2.329 4.349 1.878
Au 2.329 -4.349 5.635



The records above yield total moment values of 0.00, 0.00, 8.62 Bohr magnetons per cell, respectively.
The records above yield Fermi-level density of states values of 5.6, 4.6, 6.8 states/eV/f.u., respectively.
The records above yield formation energy from the elements values of 0.01, -0.22, 0.18 eV per atom, respectively.